Entry from Alexandria: a relaxed PmPr3Sn3 crystal (GGA-PBE).

```
PmPr3Sn3
1.0
4.4915 -6.7606 0.0000
4.4915 6.7606 0.0000
-0.2786 0.0000 7.9782
Pm Pr Sn
2 6 6
direct
0.2085 0.2085 0.0937
0.7915 0.7915 0.9063
0.1341 0.1341 0.6345
0.2777 0.7223 0.0000
0.3492 0.6508 0.5000
0.6508 0.3492 0.5000
0.7223 0.2777 0.0000
0.8659 0.8659 0.3655
0.0101 0.6603 0.6792
0.3397 0.9899 0.3208
0.4491 0.4491 0.8104
0.5509 0.5509 0.1896
0.6603 0.0101 0.6792
0.9899 0.3397 0.3208
```

Output
- magnetic moment (μB/f.u.) = 0.000
- Fermi-level density of states (states/eV/f.u.) = 5.56
- ΔH_f (0 K) (eV per atom) = -0.446